Entry 1:
NaNb2NO | PBE-GGA | relaxed

Space-group type: P4/mmm, No. 123
E_tot in eV/cell: -32.273

Lattice parameters (Å, degrees): 4.039 4.039 4.995 90.00 90.00 90.00
Element x y z (fractional)
Na: 0.000 0.000 0.000
Nb: 0.000 0.500 0.500
Nb: 0.500 0.000 0.500
N: 0.500 0.500 0.000
O: 0.500 0.500 0.500

Entry 2:
NaNbP2N6 | PBE-GGA | relaxed

Space-group type: C2/c, No. 15
E_tot in eV/cell: -148.153

Lattice parameters (Å, degrees): 7.816 7.816 5.214 105.24 105.24 94.03
Element x y z (fractional)
Na: 0.069 0.931 0.750
Na: 0.931 0.069 0.250
Nb: 0.252 0.748 0.250
Nb: 0.748 0.252 0.750
P: 0.197 0.345 0.770
P: 0.345 0.197 0.270
P: 0.655 0.803 0.730
P: 0.803 0.655 0.230
N: 0.016 0.730 0.306
N: 0.232 0.303 0.466
N: 0.244 0.556 0.927
N: 0.270 0.984 0.194
N: 0.303 0.232 0.966
N: 0.444 0.756 0.573
N: 0.556 0.244 0.427
N: 0.697 0.768 0.034
N: 0.730 0.016 0.806
N: 0.756 0.444 0.073
N: 0.768 0.697 0.534
N: 0.984 0.270 0.694

Entry 3:
Na2Pa2NbN6 | PBE-GGA | relaxed

Space-group type: C2/m, No. 12
E_tot in eV/cell: -91.933

Lattice parameters (Å, degrees): 5.922 5.922 6.036 98.38 98.38 119.47
Element x y z (fractional)
Na: 0.155 0.845 0.000
Na: 0.845 0.155 0.000
Pa: 0.334 0.666 0.500
Pa: 0.666 0.334 0.500
Nb: 0.000 0.000 0.500
N: 0.044 0.370 0.679
N: 0.259 0.259 0.323
N: 0.370 0.044 0.679
N: 0.630 0.956 0.321
N: 0.741 0.741 0.677
N: 0.956 0.630 0.321

Entry 4:
Na3Pa3NbN8 | PBE-GGA | relaxed

Space-group type: R-3m, No. 166
E_tot in eV/cell: -124.516

Lattice parameters (Å, degrees): 6.969 6.969 6.969 59.79 59.79 59.79
Element x y z (fractional)
Na: 0.000 0.500 0.500
Na: 0.500 0.000 0.500
Na: 0.500 0.500 0.000
Pa: 0.000 0.000 0.500
Pa: 0.000 0.500 0.000
Pa: 0.500 0.000 0.000
Nb: 0.500 0.500 0.500
N: 0.230 0.230 0.230
N: 0.243 0.718 0.718
N: 0.282 0.282 0.757
N: 0.282 0.757 0.282
N: 0.718 0.243 0.718
N: 0.718 0.718 0.243
N: 0.757 0.282 0.282
N: 0.770 0.770 0.770

Entry 5:
Na2PaNbN4 | PBE-GGA | relaxed

Space-group type: P2/m, No. 10
E_tot in eV/cell: -63.147

Lattice parameters (Å, degrees): 5.825 3.365 6.015 90.00 108.40 90.00
Element x y z (fractional)
Na: 0.000 0.000 0.000
Na: 0.500 0.500 0.000
Pa: 0.000 0.500 0.500
Nb: 0.500 0.000 0.500
N: 0.249 0.000 0.691
N: 0.280 0.500 0.311
N: 0.720 0.500 0.689
N: 0.751 0.000 0.309

Entry 6:
Na3PaNb2N6 | PBE-GGA | relaxed

Space-group type: C2/m, No. 12
E_tot in eV/cell: -93.978

Lattice parameters (Å, degrees): 7.601 7.601 6.892 106.17 106.17 24.92
Element x y z (fractional)
Na: 0.000 0.000 0.000
Na: 0.327 0.327 0.665
Na: 0.673 0.673 0.335
Pa: 0.000 0.000 0.500
Nb: 0.331 0.331 0.152
Nb: 0.669 0.669 0.848
N: 0.157 0.157 0.630
N: 0.180 0.180 0.055
N: 0.479 0.479 0.262
N: 0.521 0.521 0.738
N: 0.820 0.820 0.945
N: 0.843 0.843 0.370

Entry 7:
NaNb2PdN | PBE-GGA | relaxed

Space-group type: P4/mmm, No. 123
E_tot in eV/cell: -24.428

Lattice parameters (Å, degrees): 4.790 4.790 3.750 90.00 90.00 90.00
Element x y z (fractional)
Na: 0.000 0.000 0.000
Nb: 0.000 0.500 0.000
Nb: 0.500 0.000 0.000
Pd: 0.500 0.500 0.500
N: 0.000 0.000 0.500

Entry 8:
NaPrNbN3 | PBE-GGA | relaxed

Space-group type: C2/c, No. 15
E_tot in eV/cell: -92.220

Lattice parameters (Å, degrees): 6.342 6.342 5.600 96.21 96.21 127.04
Element x y z (fractional)
Na: 0.067 0.933 0.750
Na: 0.933 0.067 0.250
Pr: 0.251 0.749 0.250
Pr: 0.749 0.251 0.750
Nb: 0.450 0.550 0.750
Nb: 0.550 0.450 0.250
N: 0.226 0.353 0.018
N: 0.273 0.727 0.750
N: 0.353 0.226 0.518
N: 0.647 0.774 0.482
N: 0.727 0.273 0.250
N: 0.774 0.647 0.982